No. 1
{"formula": "LiRe2CBr", "functional": "PBE", "state": "relaxed", "sg": "P4/mmm, No. 123", "formation_energy_uncorrected_mev_per_atom": 2858.7, "lattice_angstrom": [[4.618, 0.000, 0.000], [0.000, 4.351, 0.000], [0.000, 0.000, 4.618]], "species": ["Re", "Re", "C", "Br", "Li"], "fractional_positions": [[0.000, 0.000, 0.500], [0.500, 0.000, 0.000], [0.000, 0.500, 0.000], [0.000, 0.000, 0.000], [0.500, 0.500, 0.500]]}

No. 2
{"formula": "LiCSe2Br", "functional": "PBE", "state": "relaxed", "sg": "P4/mmm, No. 123", "polymorph_energy_mev_per_atom": 1050, "formation_energy_uncorrected_mev_per_atom": 1540.6, "lattice_angstrom": [[4.688, 0.000, 0.000], [0.000, 4.688, 0.000], [0.000, 0.000, 4.670]], "species": ["C", "Se", "Se", "Br", "Li"], "fractional_positions": [[0.500, 0.500, 0.500], [0.000, 0.500, 0.000], [0.500, 0.000, 0.000], [0.000, 0.000, 0.500], [0.000, 0.000, 0.000]]}

No. 3
{"formula": "LiCSeBr2", "functional": "PBE", "state": "relaxed", "sg": "P4/mmm, No. 123", "polymorph_energy_mev_per_atom": 0, "formation_energy_uncorrected_mev_per_atom": 547.8, "lattice_angstrom": [[5.433, 0.000, 0.000], [0.000, 5.433, 0.000], [0.000, 0.000, 3.970]], "species": ["C", "Se", "Br", "Br", "Li"], "fractional_positions": [[0.000, 0.000, 0.000], [0.000, 0.000, 0.500], [0.000, 0.500, 0.000], [0.500, 0.000, 0.000], [0.500, 0.500, 0.500]]}

No. 4
{"formula": "LiCSeBr2", "functional": "PBE", "state": "relaxed", "sg": "P4/mmm, No. 123", "polymorph_energy_mev_per_atom": 847, "formation_energy_uncorrected_mev_per_atom": 1395.3, "lattice_angstrom": [[4.809, 0.000, 0.000], [0.000, 4.809, 0.000], [0.000, 0.000, 4.818]], "species": ["C", "Se", "Br", "Br", "Li"], "fractional_positions": [[0.500, 0.500, 0.500], [0.000, 0.000, 0.500], [0.000, 0.500, 0.000], [0.500, 0.000, 0.000], [0.000, 0.000, 0.000]]}

No. 5
{"formula": "LiCSe2Br", "functional": "PBE", "state": "relaxed", "sg": "P4/mmm, No. 123", "polymorph_energy_mev_per_atom": 0, "formation_energy_uncorrected_mev_per_atom": 490.6, "lattice_angstrom": [[-0.452, 0.893, -4.025], [-4.121, 0.042, 0.472], [0.296, 8.419, 1.834]], "species": ["C", "Se", "Se", "Br", "Li"], "fractional_positions": [[0.000, 0.000, 0.000], [0.000, 0.500, 0.000], [0.500, 0.000, 0.000], [0.000, 0.000, 0.500], [0.500, 0.500, 0.500]]}

No. 6
{"formula": "LiSi2CBr", "functional": "PBE", "state": "relaxed", "sg": "P4/mmm, No. 123", "formation_energy_uncorrected_mev_per_atom": 1874.0, "lattice_angstrom": [[4.566, 0.000, 0.000], [0.000, 4.612, 0.000], [0.000, 0.000, 4.566]], "species": ["Si", "Si", "C", "Br", "Li"], "fractional_positions": [[0.000, 0.000, 0.500], [0.500, 0.000, 0.000], [0.500, 0.500, 0.500], [0.000, 0.500, 0.000], [0.000, 0.000, 0.000]]}

No. 7
{"formula": "Li2VCBr", "functional": "PBE", "state": "relaxed", "sg": "P4/mmm, No. 123", "formation_energy_uncorrected_mev_per_atom": 625.0, "lattice_angstrom": [[-3.445, -3.924, -1.743], [1.971, -2.546, 1.836], [-3.141, 0.779, 4.453]], "species": ["C", "Li", "Li", "Br", "V"], "fractional_positions": [[0.000, 0.500, 0.000], [0.000, 0.000, 0.500], [0.500, 0.000, 0.000], [0.500, 0.500, 0.500], [0.000, 0.000, 0.000]]}

No. 8
{"formula": "LiZrCBr2", "functional": "PBE", "state": "relaxed", "sg": "P4/mmm, No. 123", "formation_energy_uncorrected_mev_per_atom": 774.2, "lattice_angstrom": [[4.737, 0.000, 0.000], [0.000, 4.211, 0.000], [0.000, 0.000, 4.737]], "species": ["C", "Br", "Br", "Zr", "Li"], "fractional_positions": [[0.000, 0.500, 0.000], [0.000, 0.000, 0.500], [0.500, 0.000, 0.000], [0.500, 0.500, 0.500], [0.000, 0.000, 0.000]]}